# 1
# KHg2Au (PBE-GGA, optimized geometry)
data_KHg2Au
_chemical_formula_sum 'K1 Hg2 Au1'
_symmetry_space_group_name_H-M 'P 1'
_symmetry_Int_Tables_number 1
_symmetry_space_group_name_Hall 'P 1'
_cell_length_a 5.5671
_cell_length_b 5.5671
_cell_length_c 5.5671
_cell_angle_alpha 125.80
_cell_angle_beta 125.80
_cell_angle_gamma 80.22
loop_
_atom_site_label
_atom_site_type_symbol
_atom_site_fract_x
_atom_site_fract_y
_atom_site_fract_z
_atom_site_occupancy
K1 K 0.7500 0.2500 0.5000 1
Au1 Au 0.2500 0.7500 0.5000 1
Hg1 Hg 0.0000 0.0000 0.0000 1
Hg2 Hg 0.5000 0.5000 0.0000 1
# - VASP energy (eV per cell) = -5.579
# - formation energy from the elements (eV/atom) = -0.1502
# - energy above the most stable polymorph in this dataset (meV/atom) = 113
# - calculated volume (A^3/atom) = 27.4

***

# 2
# ErTmV (PBE-GGA, optimized geometry)
data_ErTmV
_chemical_formula_sum 'Er2 Tm2 V2'
_symmetry_space_group_name_H-M 'P 1'
_symmetry_Int_Tables_number 1
_symmetry_space_group_name_Hall 'P 1'
_cell_length_a 5.1920
_cell_length_b 6.0283
_cell_length_c 6.5018
_cell_angle_alpha 122.66
_cell_angle_beta 90.00
_cell_angle_gamma 115.51
loop_
_atom_site_label
_atom_site_type_symbol
_atom_site_fract_x
_atom_site_fract_y
_atom_site_fract_z
_atom_site_occupancy
V1 V 0.6600 0.3201 0.7848 1
V2 V 0.2589 0.5177 0.8841 1
Er1 Er 0.9594 0.9189 0.3347 1
Er2 Er 0.5988 0.1976 0.2230 1
Tm1 Tm 0.9595 0.9189 0.8342 1
Tm2 Tm 0.3200 0.6400 0.4458 1
# - VASP energy (eV per cell) = -34.141
# - formation energy from the elements (eV/atom) = 0.3609
# - calculated volume (A^3/atom) = 24.5